1.
VASP calculation (GGA-PBE) on an optimized crystal structure of SrNiMo3.

Structure (POSCAR):
```
SrNiMo3
1.0
4.6899 0.0000 0.0000
0.0000 4.6899 0.0000
0.0000 0.0000 4.6899
Sr Ni Mo
1 1 3
direct
0.0000 0.0000 0.0000
0.5000 0.5000 0.5000
0.0000 0.5000 0.5000
0.5000 0.0000 0.5000
0.5000 0.5000 0.0000
```

Summary:
Crystal system = cubic
E_tot = -33.2 eV/cell
ΔE_f = 1346 meV/atom
D(E_F) = 7.860 states/eV/cell
Offset from the most stable computed form = 0.0 kJ/mol of atoms
Magnetization = 0.000 μB per atom


2.
VASP calculation (GGA-PBE) on an optimized crystal structure of InGaHg.

Structure (POSCAR):
```
InGaHg
1.0
5.8427 0.0000 0.0000
0.0000 5.3419 0.0000
0.0000 0.0000 9.4086
In Ga Hg
4 4 4
direct
0.1610 0.2500 0.1124
0.3390 0.7500 0.6124
0.6610 0.2500 0.3876
0.8390 0.7500 0.8876
0.0321 0.7500 0.2508
0.4679 0.2500 0.7508
0.5321 0.7500 0.2492
0.9679 0.2500 0.7492
0.1636 0.2500 0.4483
0.3364 0.7500 0.9483
0.6636 0.2500 0.0517
0.8364 0.7500 0.5517
```

Summary:
Crystal system = orthorhombic
E_tot = -23.4 eV/cell
ΔE_f = 75 meV/atom
D(E_F) = 4.928 states/eV/cell
Magnetization = 0.000 μB per atom


Please write out number 2 again, unchanged.
VASP calculation (GGA-PBE) on an optimized crystal structure of InGaHg.

Structure (POSCAR):
```
InGaHg
1.0
5.8427 0.0000 0.0000
0.0000 5.3419 0.0000
0.0000 0.0000 9.4086
In Ga Hg
4 4 4
direct
0.1610 0.2500 0.1124
0.3390 0.7500 0.6124
0.6610 0.2500 0.3876
0.8390 0.7500 0.8876
0.0321 0.7500 0.2508
0.4679 0.2500 0.7508
0.5321 0.7500 0.2492
0.9679 0.2500 0.7492
0.1636 0.2500 0.4483
0.3364 0.7500 0.9483
0.6636 0.2500 0.0517
0.8364 0.7500 0.5517
```

Summary:
Crystal system = orthorhombic
E_tot = -23.4 eV/cell
ΔE_f = 75 meV/atom
D(E_F) = 4.928 states/eV/cell
Magnetization = 0.000 μB per atom


- What is the formula in the second record?
  InGaHg